## Si2TeMo (PBE)

Data for a geometry-optimized Si2TeMo structure.

Values from the calculation:
Size of the total moment, μB/f.u.: 0.0
Space-group type: P4mm, No. 99
Energy, eV/atom: -6.072
Formation energy from raw total energies, meV/atom: 133

Lattice parameters (Å, degrees): 3.2086 3.2086 7.5374 90.00 90.00 90.00
Closest atoms and distances in Å follow each position.
Positions (direct):
Te1 0.0000 0.0000 0.5688  4 Mo 2.87, 1 Si 3.10, 4 Te 3.21
Si1 0.5000 0.5000 0.1478  4 Si 2.60, 1 Mo 2.60
Si2 0.0000 0.0000 0.9804  4 Si 2.60, 4 Mo 2.63
Mo1 0.5000 0.5000 0.8030  5 Si 2.60-2.63, 4 Te 2.87